Entry 1:
VASP calculation (PBE) on an optimized crystal structure of Sr2HfZr.

Lattice parameters (Å, degrees): 7.1787 7.1787 7.1787 101.05 101.05 128.08
Element x y z (fractional)
Sr  0.1238  0.6250  0.9988
Sr  0.3750  0.3738  0.4988
Sr  0.6262  0.1250  0.0012
Sr  0.8750  0.8762  0.5012
Hf  0.0000  0.0000  0.0000
Hf  0.7500  0.2500  0.5000
Zr  0.2500  0.7500  0.5000
Zr  0.5000  0.5000  0.0000

Properties
Symmetry = No. 122
Energy relative to the lowest polymorph listed for this composition = 0.167 eV/atom
Fermi-level density of states = 2.010 states/eV/atom
ΔH_f (0 K) = 1118 meV per atom

Entry 2:
VASP calculation (PBE) on an optimized crystal structure of SrHf3Zr.

Lattice parameters (Å, degrees): 5.0845 5.0845 5.0845 90.00 90.00 90.00
Element x y z (fractional)
Sr  0.0000  0.0000  0.0000
Hf  0.0000  0.0000  0.5000
Hf  0.0000  0.5000  0.0000
Hf  0.5000  0.0000  0.0000
Zr  0.5000  0.5000  0.5000

Properties
Symmetry = No. 221
Energy relative to the lowest polymorph listed for this composition = 0.936 eV/atom
Fermi-level density of states = 1.325 states/eV/atom
ΔH_f (0 K) = 1894 meV per atom

Entry 3:
VASP calculation (PBE) on an optimized crystal structure of SrHf3Zr.

Lattice parameters (Å, degrees): 5.3127 5.3127 5.3127 90.00 90.00 90.00
Element x y z (fractional)
Sr  0.0000  0.0000  0.0000
Hf  0.0000  0.5000  0.5000
Hf  0.5000  0.0000  0.5000
Hf  0.5000  0.5000  0.0000
Zr  0.5000  0.5000  0.5000

Properties
Symmetry = No. 221
Energy relative to the lowest polymorph listed for this composition = 0.000 eV/atom
Fermi-level density of states = 2.093 states/eV/atom
ΔH_f (0 K) = 958 meV per atom

Which formula does entry 3 have? SrHf3Zr

Look up the Fermi-level density of states of the first one. 2.010 states/eV/atom

Look up the Fermi-level density of states of the first one. 2.010 states/eV/atom